Record 1
First-principles (PBE) data for a geometry-optimized MgPtSeO structure, as listed in OQMD via LeMat-Bulk.

POSCAR file:
```
MgPtSeO
1.0
-2.639 0.915 -2.981
-3.113 -1.005 2.447
-0.357 7.425 2.594
Mg Pt Se O
2 2 2 2
Cartesian
-2.994 -0.525 1.090
-2.757 0.435 -1.624
-1.717 5.772 1.891
-4.392 1.563 0.169
-4.567 5.210 1.443
-1.541 2.125 0.617
-4.491 3.612 0.885
-1.618 3.723 1.175
```

Values from the calculation:
Total magnetization: 0.002 μB/f.u.
Crystal system: tetragonal

Record 2
First-principles (PBE) data for a geometry-optimized TbErNi4 structure, as listed in OQMD via LeMat-Bulk.

POSCAR file:
```
TbErNi4
1.0
-3.586 1.725 -3.586
4.801 -1.726 -1.631
-2.900 -7.428 -0.674
Tb Ni Er
2 8 2
Cartesian
-1.450 -3.714 -0.337
0.000 0.000 0.000
-0.790 0.575 -2.934
0.165 -6.589 -1.335
1.736 -2.565 -0.970
-0.057 -1.703 -2.763
-1.627 -5.726 -3.128
-2.457 -0.840 -1.947
-4.028 -4.863 -2.312
2.005 -0.576 -2.282
-2.240 -3.140 -3.271
0.556 -4.290 -2.619
```

Values from the calculation:
Formation energy from the elements: -32.2 kJ/mol of formula units
Total magnetization: 0.003 μB/f.u.
Crystal system: hexagonal

Number 1: energy -34.46 eV per cell. Number 2: energy -63.59 eV per cell.